Density functional theory data (PBE) for a relaxed structure of Lu2Cd3Mo4C3.

Values from the calculation:
Total energy, eV per atom: -7.13

Cell: 5.647 5.647 14.410 Å, 101.75 101.75 60.27°
Sites, in units of the cell vectors:
Lu1 0.038 0.882 0.609
Lu2 0.118 0.962 0.891
Lu3 0.882 0.038 0.109
Lu4 0.962 0.118 0.391
Cd1 0.086 0.395 0.752
Cd2 0.395 0.086 0.252
Cd3 0.438 0.562 0.250
Cd4 0.562 0.438 0.750
Cd5 0.605 0.914 0.748
Cd6 0.914 0.605 0.248
Mo1 0.192 0.344 0.068
Mo2 0.298 0.488 0.432
Mo3 0.344 0.192 0.568
Mo4 0.488 0.298 0.932
Mo5 0.512 0.702 0.068
Mo6 0.656 0.808 0.432
Mo7 0.702 0.512 0.568
Mo8 0.808 0.656 0.932
C1 0.000 0.500 0.500
C2 0.168 0.664 0.000
C3 0.336 0.832 0.500
C4 0.500 0.000 0.000
C5 0.664 0.168 0.500
C6 0.832 0.336 0.000

---

Density functional theory data (PBE) for a relaxed structure of PrSm3Ir8.

Values from the calculation:
Total energy, eV per atom: -8.21
E_form, meV per atom: -728

Cell: 9.374 9.374 9.374 Å, 33.54 33.54 33.54°
Sites, in units of the cell vectors:
Pr1 0.000 0.000 0.000
Sm1 0.375 0.375 0.375
Sm2 0.500 0.500 0.500
Sm3 0.875 0.875 0.875
Ir1 0.188 0.188 0.188
Ir2 0.437 0.437 0.937
Ir3 0.437 0.937 0.437
Ir4 0.439 0.938 0.938
Ir5 0.688 0.688 0.688
Ir6 0.937 0.437 0.437
Ir7 0.938 0.439 0.938
Ir8 0.938 0.938 0.439

---

Density functional theory data (PBE) for a relaxed structure of NaPm.

Values from the calculation:
Energy above the most stable polymorph in this dataset, meV/atom: 505
Total energy, eV per atom: -2.31

Cell: 4.618 4.618 4.618 Å, 60.00 60.00 60.00°
Sites, in units of the cell vectors:
Na1 0.000 0.000 0.000
Pm1 0.500 0.500 0.500

---

Density functional theory data (PBE) for a relaxed structure of Pm2SiP.

Values from the calculation:
Total energy, eV per atom: -6.07

Cell: 4.176 4.176 5.895 Å, 90.00 90.00 90.00°
Sites, in units of the cell vectors:
Pm1 0.000 0.000 0.000
Pm2 0.500 0.500 0.500
Si1 0.000 0.000 0.500
P1 0.500 0.500 0.000

---

Density functional theory data (PBE) for a relaxed structure of Y2HoTl3AgPt2.

Values from the calculation:
Total energy, eV per atom: -5.06

Cell: 3.764 7.927 7.927 Å, 119.84 90.00 90.00°
Sites, in units of the cell vectors:
Y1 0.000 0.205 0.795
Y2 0.000 0.795 0.205
Ho1 0.000 0.385 0.385
Tl1 0.500 0.066 0.066
Tl2 0.500 0.525 0.795
Tl3 0.500 0.795 0.525
Ag1 0.000 0.795 0.795
Pt1 0.500 0.131 0.462
Pt2 0.500 0.462 0.131

---

Density functional theory data (PBE) for a relaxed structure of LaLuB4.

Values from the calculation:
Energy above the most stable polymorph in this dataset, meV/atom: 0
Total energy, eV per atom: -6.49

Cell: 3.256 3.256 8.121 Å, 90.00 90.00 120.00°
Sites, in units of the cell vectors:
La1 0.000 0.000 0.000
Lu1 0.000 0.000 0.500
B1 0.333 0.667 0.275
B2 0.333 0.667 0.725
B3 0.667 0.333 0.275
B4 0.667 0.333 0.725

---

Volume? In order: 387.9, 224.0, 69.7, 102.8, 205.1, 74.5 Å³/cell.